# TaCrMoO6 (PBE+U, relaxed)
data_TaCrMoO6
_cell_length_a 5.0996
_cell_length_b 5.0996
_cell_length_c 9.1546
_cell_angle_alpha 90.00
_cell_angle_beta 90.00
_cell_angle_gamma 120.00
_space_group_name_H-M_alt 'P -3 1 c'
_space_group_IT_number 163
_space_group_name_Hall '-P 3 2c'
loop_
_atom_site_label
_atom_site_type_symbol
_atom_site_fract_x
_atom_site_fract_y
_atom_site_fract_z
Ta1 Ta 0.3333 0.6667 0.2500
Cr1 Cr 0.3333 0.6667 0.7500
Mo1 Mo 0.0000 0.0000 0.0000
O1 O 0.0046 0.3367 0.1316
# Total magnetic moment in μB/atom: 0.5556
# DFT total energy in eV/cell: -151.74
# Crystal system: trigonal
# Mass density in Mg/m³: 6.84